[1]
First-principles (PBE) data for DyPuTcPt after structural relaxation, as listed in the Alexandria database.

a b c (Å): 4.8615 4.8615 4.8615
angles (deg): 60.00 60.00 60.00
Closest atoms and distances in Å follow each position.
Fractional positions:
Dy 0.0000 0.0000 0.0000  4 Pt 2.98, 4 Tc 2.98
Pu 0.5000 0.5000 0.5000  4 Pt 2.98, 4 Tc 2.98
Tc 0.2500 0.2500 0.2500  4 Dy 2.98, 4 Pu 2.98
Pt 0.7500 0.7500 0.7500  4 Dy 2.98, 4 Pu 2.98

E_tot: -36.9 eV/cell
Total magnetization: 4.29 μB/cell
ΔH_f (0 K): -0.40 eV per atom

[2]
First-principles (PBE) data for DyPuZnPt after structural relaxation, as listed in the Alexandria database.

a b c (Å): 4.9985 4.9985 4.9985
angles (deg): 60.00 60.00 60.00
Closest atoms and distances in Å follow each position.
Fractional positions:
Dy 0.0000 0.0000 0.0000  4 Zn 3.06, 4 Pt 3.06
Pu 0.5000 0.5000 0.5000  4 Pt 3.06, 4 Zn 3.06
Zn 0.7500 0.7500 0.7500  4 Dy 3.06, 4 Pu 3.06
Pt 0.2500 0.2500 0.2500  4 Dy 3.06, 4 Pu 3.06

E_tot: -28.5 eV/cell
Total magnetization: 5.57 μB/cell
ΔH_f (0 K): -0.57 eV per atom